(1)
This record from the Alexandria database describes an optimized crystal structure of La2Tb2Dy4Ho. The functional is GGA-PBE. Values from VASP.

Calculated values
Space group = C2/m, No. 12
Total energy = -42.09 eV/cell
ΔE_f = 0.001 eV/atom
DOS at the Fermi energy = 12.89 states/eV/cell

The structure in Quantum ESPRESSO input format:
```
&SYSTEM
  ibrav = 0, nat = 9, ntyp = 4
/
ATOMIC_SPECIES
Tb 158.93 Tb.upf
Dy 162.50 Dy.upf
Ho 164.93 Ho.upf
La 138.91 La.upf
ATOMIC_POSITIONS angstrom
Tb -4.613 -3.411 0.063
Tb 0.746 -5.961 -1.750
Dy -1.114 -3.408 0.044
Ho 0.000 0.000 0.000
Dy -0.911 -8.447 0.098
La 3.734 -5.059 0.035
Dy -2.754 -5.963 -1.731
Dy -2.956 -0.924 -1.785
La -7.601 -4.312 -1.722
CELL_PARAMETERS angstrom
-0.020 -0.040 -3.624
5.596 -7.531 1.864
-9.443 -1.800 0.073
```



(2)
This record from the Alexandria database describes an optimized crystal structure of Rb3TbTh3Te8. The functional is GGA-PBE. Values from VASP.

Calculated values
Space group = R-3m, No. 166
Total energy = -73.49 eV/cell
DOS at the Fermi energy = 9.10 states/eV/cell

The structure in Quantum ESPRESSO input format:
```
&SYSTEM
  ibrav = 0, nat = 15, ntyp = 4
/
ATOMIC_SPECIES
Th 232.04 Th.upf
Te 127.60 Te.upf
Rb 85.47 Rb.upf
Tb 158.93 Tb.upf
ATOMIC_POSITIONS angstrom
Th 0.049 -5.001 4.634
Te 0.637 -5.978 -4.810
Te -2.858 -4.044 5.429
Th -1.111 -5.011 0.309
Te -2.381 -7.131 -1.663
Rb 0.000 0.000 0.000
Te -4.025 -4.053 1.075
Te 0.160 -2.891 2.282
Tb 3.046 -3.856 1.509
Te -1.034 -2.845 -2.033
Th 1.887 -3.866 -2.816
Te -1.187 -7.177 2.652
Rb -4.157 -1.155 -1.199
Rb -1.159 -0.010 -4.325
Te 1.804 -5.968 -0.457
CELL_PARAMETERS angstrom
-5.995 -2.290 6.251
-2.319 -0.019 -8.650
6.092 -7.713 3.018
```